No. 1
The following is a DFT calculation (PBE) of a relaxed structure of RbSnSe2.

Summary:
Formation energy from raw total energies in kJ/mol of formula units: -305
Space-group type: Pnma (62)

The structure in POSCAR format:
```
RbSnSe2
1.0
9.886 0.000 0.000
0.000 7.521 0.000
0.000 0.000 16.160
Rb Sn Se
8 8 16
Direct
0.019 0.250 0.131
0.155 0.750 0.311
0.345 0.250 0.811
0.481 0.750 0.631
0.519 0.250 0.369
0.655 0.750 0.189
0.845 0.250 0.689
0.981 0.750 0.869
0.095 0.750 0.541
0.243 0.750 0.075
0.257 0.250 0.575
0.405 0.250 0.041
0.595 0.750 0.959
0.743 0.750 0.425
0.757 0.250 0.925
0.905 0.250 0.459
0.008 0.250 0.908
0.152 0.510 0.660
0.152 0.990 0.660
0.175 0.250 0.424
0.325 0.750 0.924
0.348 0.010 0.160
0.348 0.490 0.160
0.492 0.750 0.408
0.508 0.250 0.592
0.652 0.510 0.840
0.652 0.990 0.840
0.675 0.250 0.076
0.825 0.750 0.576
0.848 0.010 0.340
0.848 0.490 0.340
0.992 0.750 0.092
```

---

No. 2
The following is a DFT calculation (PBE) of a relaxed structure of TiTlSF2.

Summary:
Formation energy from raw total energies in kJ/mol of formula units: -948
Fermi-level density of states in states/eV/cell: 3.23
Space-group type: P4/mmm (123)

The structure in POSCAR format:
```
TiTlSF2
1.0
4.234 0.000 0.000
0.000 4.234 0.000
0.000 0.000 4.863
Ti Tl S F
1 1 1 2
Direct
0.000 0.000 0.000
0.500 0.500 0.500
0.000 0.000 0.500
0.000 0.500 0.000
0.500 0.000 0.000
```

---

No. 3
The following is a DFT calculation (PBE) of a relaxed structure of LiMg2AlSe4.

Summary:
Formation energy from raw total energies in kJ/mol of formula units: -909
Fermi-level density of states in states/eV/cell: 0.00
Space-group type: Pmn2_1 (31)

The structure in POSCAR format:
```
LiMg2AlSe4
1.0
8.446 0.000 0.000
0.000 7.144 0.000
0.000 0.000 6.745
Li Mg Al Se
2 4 2 8
Direct
0.000 0.159 0.000
0.500 0.841 0.500
0.247 0.327 0.503
0.253 0.673 0.003
0.747 0.673 0.003
0.753 0.327 0.503
0.000 0.826 0.504
0.500 0.174 0.004
0.000 0.144 0.383
0.000 0.825 0.862
0.239 0.675 0.389
0.261 0.325 0.889
0.500 0.175 0.362
0.500 0.856 0.883
0.739 0.325 0.889
0.761 0.675 0.389
```

---

No. 4
The following is a DFT calculation (PBE) of a relaxed structure of Co2Ir2Pd.

Summary:
E above lowest polymorph in eV/atom: 0.016
Fermi-level density of states in states/eV/cell: 11.93
Space-group type: P4/mbm (127)

The structure in POSCAR format:
```
Co2Ir2Pd
1.0
7.223 0.000 0.000
0.000 7.223 0.000
0.000 0.000 2.684
Co Ir Pd
4 4 2
Direct
0.167 0.333 0.000
0.333 0.833 0.000
0.667 0.167 0.000
0.833 0.667 0.000
0.130 0.630 0.500
0.370 0.130 0.500
0.630 0.870 0.500
0.870 0.370 0.500
0.000 0.000 0.500
0.500 0.500 0.500
```

---

No. 5
The following is a DFT calculation (PBE) of a relaxed structure of HgTe3S.

Summary:
Formation energy from raw total energies in kJ/mol of formula units: 483
E above lowest polymorph in eV/atom: 0.541
Fermi-level density of states in states/eV/cell: 6.87
Space-group type: Pm-3m (221)

The structure in POSCAR format:
```
HgTe3S
1.0
5.615 0.000 0.000
0.000 5.615 0.000
0.000 0.000 5.615
Hg Te S
1 3 1
Direct
0.000 0.000 0.000
0.000 0.000 0.500
0.000 0.500 0.000
0.500 0.000 0.000
0.500 0.500 0.500
```

---

No. 6
The following is a DFT calculation (PBE) of a relaxed structure of CuHgPt.

Summary:
E above lowest polymorph in eV/atom: 0.010
Fermi-level density of states in states/eV/cell: 0.59
Space-group type: I4mm (107)

The structure in POSCAR format:
```
CuHgPt
1.0
-1.491 1.491 5.496
1.491 -1.491 5.496
1.491 1.491 -5.496
Cu Hg Pt
1 1 1
Direct
0.000 0.000 0.000
0.670 0.670 0.000
0.356 0.356 0.000
```

---

No. 7
The following is a DFT calculation (PBE) of a relaxed structure of Ca2SbPb.

Summary:
Formation energy from raw total energies in kJ/mol of formula units: -105
E above lowest polymorph in eV/atom: 0.415
Fermi-level density of states in states/eV/cell: 2.79
Space-group type: F-43m (216)

The structure in POSCAR format:
```
Ca2SbPb
1.0
0.000 3.955 3.955
3.955 0.000 3.955
3.955 3.955 0.000
Ca Sb Pb
2 1 1
Direct
0.000 0.000 0.000
0.250 0.250 0.250
0.750 0.750 0.750
0.500 0.500 0.500
```

---

No. 8
The following is a DFT calculation (PBE) of a relaxed structure of VRu2N.

Summary:
Formation energy from raw total energies in kJ/mol of formula units: 136
Fermi-level density of states in states/eV/cell: 3.54
Space-group type: I-42d (122)

The structure in POSCAR format:
```
VRu2N
1.0
-2.548 2.548 4.591
2.548 -2.548 4.591
2.548 2.548 -4.591
V Ru N
2 4 2
Direct
0.000 0.000 0.000
0.750 0.250 0.500
0.198 0.625 0.073
0.375 0.448 0.573
0.552 0.125 0.927
0.875 0.802 0.427
0.250 0.750 0.500
0.500 0.500 0.000
```

---

No. 9
The following is a DFT calculation (PBE) of a relaxed structure of LaTb2Pm2Sm2.

Summary:
Fermi-level density of states in states/eV/cell: 12.25
Space-group type: C2/m (12)

The structure in POSCAR format:
```
LaTb2Pm2Sm2
1.0
5.925 -1.787 0.000
5.925 1.787 0.000
-4.049 0.000 11.360
La Tb Pm Sm
1 2 2 2
Direct
0.000 0.000 0.000
0.222 0.222 0.860
0.778 0.778 0.140
0.445 0.445 0.727
0.555 0.555 0.273
0.333 0.333 0.419
0.667 0.667 0.581
```

---

No. 10
The following is a DFT calculation (PBE) of a relaxed structure of Tb5HoHg6.

Summary:
Fermi-level density of states in states/eV/cell: 12.93
Space-group type: Cmmm (65)

The structure in POSCAR format:
```
Tb5HoHg6
1.0
2.632 -7.922 0.000
2.632 7.922 0.000
0.000 0.000 7.482
Tb Ho Hg
5 1 6
Direct
0.000 0.000 0.000
0.333 0.667 0.000
0.334 0.666 0.500
0.666 0.334 0.500
0.667 0.333 0.000
0.000 0.000 0.500
0.166 0.834 0.252
0.166 0.834 0.748
0.500 0.500 0.252
0.500 0.500 0.748
0.834 0.166 0.252
0.834 0.166 0.748
```

---

No. 11
The following is a DFT calculation (PBE) of a relaxed structure of CrH2Ir.

Summary:
E above lowest polymorph in eV/atom: 0.625
Fermi-level density of states in states/eV/cell: 6.04
Space-group type: Fm-3m (225)

The structure in POSCAR format:
```
CrH2Ir
1.0
0.000 2.562 2.562
2.562 0.000 2.562
2.562 2.562 0.000
Cr H Ir
1 2 1
Direct
0.000 0.000 0.000
0.250 0.250 0.250
0.750 0.750 0.750
0.500 0.500 0.500
```

---

No. 12
The following is a DFT calculation (PBE) of a relaxed structure of Re3Os4.

Summary:
E above lowest polymorph in eV/atom: 0.000
Fermi-level density of states in states/eV/cell: 6.28
Space-group type: Cm (8)

The structure in POSCAR format:
```
Re3Os4
1.0
4.342 -1.941 0.000
4.342 1.941 0.000
-0.860 0.000 6.071
Re Os
3 4
Direct
0.000 0.000 0.000
0.574 0.574 0.714
0.857 0.857 0.568
0.146 0.146 0.428
0.286 0.286 0.857
0.428 0.428 0.285
0.714 0.714 0.141
```

---

Here are the calculated total energy numbers, same order: -15.10 -27.95 -32.20 -36.11 -8.85 -10.36 -12.92 -34.59 -32.51 -35.30 -22.20 -81.74 (eV per formula unit).